1.
Be2AlOs | SCAN | PBEsol geometry

## Properties
- E: -22.49 eV per atom

a b c (Å): 3.0792 3.8377 7.5604
angles (deg): 90.00 90.00 90.00
With the nearest neighbours (Å) after each atom.
Space group Immm (No. 71)
Asymmetric unit:
Be 0.0000 0.0000 0.2435 [4 per cell]  2 Os 2.40, 4 Be 2.46, 4 Al 2.48-2.66
Al 0.0000 0.5000 0.0000 [2 per cell]  4 Os 2.46, 8 Be 2.48-2.66
Os 0.0000 0.5000 0.5000 [2 per cell]  4 Be 2.40, 4 Al 2.46


2.
Be3AlOs | SCAN | PBEsol geometry

## Properties
- E: -16.92 eV per atom

a b c (Å): 4.0060 4.0060 4.0060
angles (deg): 90.00 90.00 90.00
With the nearest neighbours (Å) after each atom.
Space group Pm-3m (No. 221)
Asymmetric unit:
Be 0.0000 0.0000 0.5000 [3 per cell]  2 Al 2.00
Al 0.0000 0.0000 0.0000 [1 per cell]  6 Be 2.00
Os 0.5000 0.5000 0.5000 [1 per cell]  12 Be 2.83


3.
BeAlOs | SCAN | PBEsol geometry

## Properties
- E: -28.31 eV per atom

a b c (Å): 3.9518 3.9518 2.7195
angles (deg): 90.00 90.00 120.00
With the nearest neighbours (Å) after each atom.
Space group P3m1 (No. 156)
Asymmetric unit:
Be 0.0000 0.0000 0.0000 [1 per cell]  3 Os 2.35, 3 Al 2.43
Al 0.6667 0.3333 0.3048 [1 per cell]  3 Be 2.43, 6 Os 2.63-2.68
Os 0.3333 0.6667 0.7860 [1 per cell]  3 Be 2.35, 3 Al 2.63


4.
BeAl2Os2 | SCAN | PBEsol geometry

## Properties
- E: -32.40 eV per atom

a b c (Å): 3.3642 3.3642 12.6691
angles (deg): 90.00 90.00 90.00
With the nearest neighbours (Å) after each atom.
Space group I4/mmm (No. 139)
Asymmetric unit:
Be 0.0000 0.0000 0.0000 [2 per cell]  8 Os 2.70
Al 0.0000 0.5000 0.2500 [4 per cell]  4 Al 2.38, 4 Os 2.54
Os 0.0000 0.0000 0.3998 [4 per cell]  4 Al 2.54, 1 Os 2.54, 4 Be 2.70


5.
Be2AlOs | SCAN | PBEsol geometry

## Properties
- E: -22.52 eV per atom

a b c (Å): 3.0501 3.7439 7.6728
angles (deg): 90.00 90.00 90.00
With the nearest neighbours (Å) after each atom.
Space group Imm2 (No. 44)
Asymmetric unit:
Be 0.0000 0.0000 0.0000 [2 per cell]  2 Be 2.30, 4 Al 2.42, 2 Os 2.42
Be 0.0000 0.5000 0.2748 [2 per cell]  2 Be 2.30, 4 Os 2.43, 2 Al 2.53
Al 0.0000 0.0000 0.5115 [2 per cell]  8 Be 2.42-2.61, 4 Os 2.55-2.59
Os 0.0000 0.5000 0.7452 [2 per cell]  8 Be 2.42-2.71, 4 Al 2.55-2.59


6.
ZrBeAlOs2 | SCAN | PBEsol geometry

## Properties
- E: -34.98 eV per atom

a b c (Å): 4.7374 4.7374 4.9293
angles (deg): 90.00 90.00 90.00
With the nearest neighbours (Å) after each atom.
Space group P4/mmm (No. 123)
Asymmetric unit:
Zr 0.0000 0.0000 0.0000 [1 per cell]  4 Os 2.37, 2 Al 2.46
Be 0.5000 0.5000 0.5000 [1 per cell]  4 Al 3.35, 8 Os 3.42
Al 0.0000 0.0000 0.5000 [1 per cell]  2 Zr 2.46
Os 0.0000 0.5000 0.0000 [2 per cell]  2 Zr 2.37


7.
BeAlP2 | SCAN | PBEsol geometry

## Properties
- Energy above the most stable polymorph in this dataset: 452.5 meV/atom
- E: -8.09 eV per atom

a b c (Å): 3.6411 3.3222 4.8961
angles (deg): 90.00 107.53 90.00
With the nearest neighbours (Å) after each atom.
Space group P2/m (No. 10)
Asymmetric unit:
Be 0.0000 0.0000 0.0000 [1 per cell]  4 P 2.28
Al 0.5000 0.0000 0.5000 [1 per cell]  4 P 2.54, 2 Be 2.57
P 0.2546 0.5000 0.7958 [2 per cell]  1 P 2.24, 2 Be 2.28


8.
BeAlP2 | SCAN | PBEsol geometry

## Properties
- Energy above the most stable polymorph in this dataset: 690.9 meV/atom
- E: -7.85 eV per atom

a b c (Å): 3.3213 3.9957 8.3990
angles (deg): 90.00 90.00 90.00
With the nearest neighbours (Å) after each atom.
Space group Cmm2 (No. 35)
Asymmetric unit:
Be 0.0000 0.0000 0.0000 [2 per cell]  4 P 2.27-2.53, 2 Al 2.51
Al 0.0000 0.5000 0.7754 [2 per cell]  4 Be 2.51-2.75, 4 Al 2.60, 2 P 2.61
P 0.0000 0.0000 0.5350 [2 per cell]  4 P 2.60, 4 Al 2.61-2.84
P 0.0000 0.5000 0.1841 [2 per cell]  4 Be 2.27-2.53


9.
BeAl2P | SCAN | PBEsol geometry

## Properties
- Energy above the most stable polymorph in this dataset: 0.0 meV/atom
- E: -7.39 eV per atom

a b c (Å): 3.0516 3.0516 5.9732
angles (deg): 90.00 90.00 90.00
With the nearest neighbours (Å) after each atom.
Space group P4mm (No. 99)
Asymmetric unit:
Be 0.0000 0.0000 0.0000 [1 per cell]  4 P 2.31, 1 Al 2.48
Al 0.0000 0.0000 0.4151 [1 per cell]  1 Be 2.48, 4 P 2.72
Al 0.5000 0.5000 0.7237 [1 per cell]  1 P 2.47, 4 Be 2.72
P 0.5000 0.5000 0.1376 [1 per cell]  4 Be 2.31, 1 Al 2.47


10.
BeAlP2 | SCAN | PBEsol geometry

## Properties
- Energy above the most stable polymorph in this dataset: 0.0 meV/atom
- E: -8.54 eV per atom

a b c (Å): 4.9569 4.9569 11.3039
angles (deg): 90.00 90.00 90.00
With the nearest neighbours (Å) after each atom.
Space group I-42d (No. 122)
Asymmetric unit:
Be 0.0000 0.0000 0.0000 [4 per cell]  4 P 2.15
Al 0.0000 0.0000 0.5000 [4 per cell]  4 P 2.36
P 0.2111 0.2500 0.1250 [8 per cell]  2 Be 2.15, 2 Al 2.36


11.
BeAl2P | SCAN | PBEsol geometry

## Properties
- Energy above the most stable polymorph in this dataset: 92.4 meV/atom
- E: -7.30 eV per atom

a b c (Å): 3.8207 3.8207 7.4427
angles (deg): 90.00 90.00 90.00
With the nearest neighbours (Å) after each atom.
Space group I4/mmm (No. 139)
Asymmetric unit:
Be 0.0000 0.0000 0.0000 [2 per cell]  8 Al 2.67, 4 P 2.70
Al 0.0000 0.5000 0.2500 [4 per cell]  4 Be 2.67, 4 P 2.67, 4 Al 2.70
P 0.0000 0.0000 0.5000 [2 per cell]  8 Al 2.67, 4 Be 2.70


12.
BeAl2P | SCAN | PBEsol geometry

## Properties
- Energy above the most stable polymorph in this dataset: 60.6 meV/atom
- E: -7.33 eV per atom

a b c (Å): 4.0736 4.0736 3.2999
angles (deg): 90.00 90.00 90.00
With the nearest neighbours (Å) after each atom.
Space group P4/mmm (No. 123)
Asymmetric unit:
Be 0.0000 0.0000 0.0000 [1 per cell]  8 Al 2.62, 4 P 2.88
Al 0.0000 0.5000 0.5000 [2 per cell]  4 P 2.62, 4 Be 2.62, 4 Al 2.88
P 0.5000 0.5000 0.0000 [1 per cell]  8 Al 2.62, 4 Be 2.88


13.
BeAlP2 | SCAN | PBEsol geometry

## Properties
- Energy above the most stable polymorph in this dataset: 7.1 meV/atom
- E: -8.54 eV per atom

a b c (Å): 3.6099 3.6099 5.3702
angles (deg): 90.00 90.00 90.00
With the nearest neighbours (Å) after each atom.
Space group P-4m2 (No. 115)
Asymmetric unit:
Be 0.0000 0.0000 0.0000 [1 per cell]  4 P 2.15
Al 0.5000 0.5000 0.5000 [1 per cell]  4 P 2.36
P 0.0000 0.5000 0.2161 [2 per cell]  2 Be 2.15, 2 Al 2.36


14.
BeAlP | SCAN | PBEsol geometry

## Properties
- Energy above the most stable polymorph in this dataset: 52.8 meV/atom
- E: -7.14 eV per atom

a b c (Å): 5.6411 5.6411 5.6411
angles (deg): 90.00 90.00 90.00
With the nearest neighbours (Å) after each atom.
Space group F-43m (No. 216)
Asymmetric unit:
Be 0.0000 0.0000 0.0000 [4 per cell]  4 P 2.44
Al 0.0000 0.0000 0.5000 [4 per cell]  4 P 2.44
P 0.2500 0.2500 0.2500 [4 per cell]  4 Al 2.44, 4 Be 2.44


15.
BeAlP | SCAN | PBEsol geometry

## Properties
- Energy above the most stable polymorph in this dataset: 0.0 meV/atom
- E: -7.19 eV per atom

a b c (Å): 3.5362 4.3733 10.2136
angles (deg): 90.00 90.00 90.00
With the nearest neighbours (Å) after each atom.
Space group Fmm2 (No. 42)
Asymmetric unit:
Be 0.0000 0.0000 0.0000 [4 per cell]  2 P 2.21
Al 0.0000 0.0000 0.6716 [4 per cell]  2 Be 2.49, 2 P 2.70
P 0.0000 0.0000 0.3709 [4 per cell]  2 Be 2.21


16.
BeAlP2 | SCAN | PBEsol geometry

## Properties
- Energy above the most stable polymorph in this dataset: 733.9 meV/atom
- E: -7.81 eV per atom

a b c (Å): 5.9671 5.9671 5.9671
angles (deg): 90.00 90.00 90.00
With the nearest neighbours (Å) after each atom.
Space group Fm-3m (No. 225)
Asymmetric unit:
Be 0.0000 0.0000 0.0000 [4 per cell]  8 P 2.58
Al 0.0000 0.0000 0.5000 [4 per cell]  8 P 2.58
P 0.2500 0.2500 0.2500 [8 per cell]  4 Be 2.58, 4 Al 2.58


17.
BeAl2Pb | SCAN | PBEsol geometry

## Properties
- E: -23.59 eV per atom

a b c (Å): 8.2747 3.2672 6.0943
angles (deg): 90.00 112.54 90.00
With the nearest neighbours (Å) after each atom.
Space group Cm (No. 8)
Asymmetric unit:
Be 0.0000 0.0000 0.0000 [2 per cell]  5 Al 2.38-2.48
Al 0.2735 0.0000 0.9555 [2 per cell]  3 Be 2.38-2.42
Al 0.4834 0.0000 0.6857 [2 per cell]  2 Be 2.48
Pb 0.1746 0.5000 0.3822 [2 per cell]  2 Be 2.76, 3 Al 2.86-3.00


18.
Be2Al2Pb | SCAN | PBEsol geometry

## Properties
- E: -19.56 eV per atom

a b c (Å): 7.1067 7.1067 3.1955
angles (deg): 90.00 90.00 90.00
With the nearest neighbours (Å) after each atom.
Space group P4/mbm (No. 127)
Asymmetric unit:
Be 0.1105 0.3895 0.0000 [4 per cell]  1 Be 2.22
Al 0.1702 0.6702 0.5000 [4 per cell]  6 Be 2.59-2.72
Pb 0.0000 0.0000 0.0000 [2 per cell]  4 Be 2.88, 8 Al 3.08, 2 Pb 3.20


19.
BeAlPb | SCAN | PBEsol geometry

## Properties
- E: -28.83 eV per atom

a b c (Å): 4.1369 4.1369 3.9953
angles (deg): 90.00 90.00 120.00
With the nearest neighbours (Å) after each atom.
Space group P-6m2 (No. 187)
Asymmetric unit:
Be 0.0000 0.0000 0.0000 [1 per cell]  3 Al 2.39
Al 0.6667 0.3333 0.0000 [1 per cell]  3 Be 2.39
Pb 0.3333 0.6667 0.5000 [1 per cell]  6 Be 3.11, 6 Al 3.11


20.
Be2AlPb | SCAN | PBEsol geometry

## Properties
- Energy above the most stable polymorph in this dataset: 0.0 meV/atom
- E: -22.54 eV per atom

a b c (Å): 3.0093 3.0093 7.2214
angles (deg): 90.00 90.00 90.00
With the nearest neighbours (Å) after each atom.
Space group P4mm (No. 99)
Asymmetric unit:
Be 0.0000 0.0000 0.0000 [1 per cell]  4 Be 2.33, 4 Al 2.61
Be 0.5000 0.5000 0.1328 [1 per cell]  4 Be 2.33, 1 Al 2.47
Al 0.5000 0.5000 0.7910 [1 per cell]  5 Be 2.47-2.61
Pb 0.0000 0.0000 0.4219 [1 per cell]  5 Be 2.98-3.05, 4 Pb 3.01


21.
Be2AlPb | SCAN | PBEsol geometry

## Properties
- Energy above the most stable polymorph in this dataset: 6.4 meV/atom
- E: -22.54 eV per atom

a b c (Å): 2.9301 3.6411 6.1811
angles (deg): 90.00 90.00 90.00
With the nearest neighbours (Å) after each atom.
Space group Pmmm (No. 47)
Asymmetric unit:
Be 0.0000 0.0000 0.1732 [2 per cell]  1 Be 2.14
Al 0.5000 0.5000 0.0000 [1 per cell]  8 Be 2.57
Pb 0.5000 0.5000 0.5000 [1 per cell]  2 Pb 2.93, 8 Be 3.09, 2 Al 3.09


22.
Be2AlPb | SCAN | PBEsol geometry

## Properties
- Energy above the most stable polymorph in this dataset: 73.3 meV/atom
- E: -22.47 eV per atom

a b c (Å): 3.1584 3.1584 23.0918
angles (deg): 90.00 90.00 120.00
With the nearest neighbours (Å) after each atom.
Space group R-3m (No. 166, hexagonal axes)
Asymmetric unit:
Be 0.0000 0.0000 0.2429 [6 per cell]  3 Al 2.54, 3 Pb 2.77
Al 0.0000 0.0000 0.5000 [3 per cell]  6 Be 2.54
Pb 0.0000 0.0000 0.0000 [3 per cell]  6 Be 2.77


23.
Be2AlPb | SCAN | PBEsol geometry

## Properties
- Energy above the most stable polymorph in this dataset: 278.5 meV/atom
- E: -22.26 eV per atom

a b c (Å): 6.4690 6.4690 6.4690
angles (deg): 90.00 90.00 90.00
With the nearest neighbours (Å) after each atom.
Space group F-43m (No. 216)
Asymmetric unit:
Be 0.0000 0.0000 0.0000 [4 per cell]  4 Pb 2.80, 4 Be 2.80
Be 0.2500 0.2500 0.2500 [4 per cell]  4 Be 2.80, 4 Al 2.80
Al 0.0000 0.0000 0.5000 [4 per cell]  4 Be 2.80, 4 Pb 2.80
Pb 0.2500 0.2500 0.7500 [4 per cell]  4 Al 2.80, 4 Be 2.80


24.
Be2AlPtPb | SCAN | PBEsol geometry

## Properties
- E: -31.37 eV per atom

a b c (Å): 4.3945 4.3945 5.3852
angles (deg): 90.00 90.00 90.00
With the nearest neighbours (Å) after each atom.
Space group P4/mmm (No. 123)
Asymmetric unit:
Be 0.0000 0.5000 0.0000 [2 per cell]  2 Pb 2.20
Al 0.0000 0.0000 0.5000 [1 per cell]  4 Pt 3.11, 8 Be 3.48
Pt 0.5000 0.5000 0.5000 [1 per cell]  2 Pb 2.69
Pb 0.5000 0.5000 0.0000 [1 per cell]  4 Be 2.20


25.
Be4AlPt | SCAN | PBEsol geometry

## Properties
- E: -16.47 eV per atom

a b c (Å): 6.1691 6.1691 6.1691
angles (deg): 90.00 90.00 90.00
With the nearest neighbours (Å) after each atom.
Space group F-43m (No. 216)
Asymmetric unit:
Be 0.1241 0.1241 0.1241 [16 per cell]  6 Be 2.17-2.20
Al 0.0000 0.0000 0.5000 [4 per cell]  12 Be 2.56, 4 Pt 2.67
Pt 0.2500 0.2500 0.7500 [4 per cell]  12 Be 2.56, 4 Al 2.67


26.
BeAl3Pt | SCAN | PBEsol geometry

## Properties
- E: -19.39 eV per atom

a b c (Å): 4.2136 4.2136 4.2136
angles (deg): 90.00 90.00 90.00
With the nearest neighbours (Å) after each atom.
Space group Pm-3m (No. 221)
Asymmetric unit:
Be 0.0000 0.0000 0.0000 [1 per cell]  6 Al 2.11
Al 0.0000 0.0000 0.5000 [3 per cell]  2 Be 2.11
Pt 0.5000 0.5000 0.5000 [1 per cell]  12 Al 2.98


27.
BeAl2PtW | SCAN | PBEsol geometry

## Properties
- E: -31.48 eV per atom

a b c (Å): 4.2907 4.2907 3.9496
angles (deg): 90.00 90.00 90.00
With the nearest neighbours (Å) after each atom.
Space group P4/mmm (No. 123)
Asymmetric unit:
Be 0.0000 0.0000 0.0000 [1 per cell]  2 Pt 1.97, 4 Al 2.15
Al 0.0000 0.5000 0.0000 [2 per cell]  2 Be 2.15
Pt 0.0000 0.0000 0.5000 [1 per cell]  2 Be 1.97
W 0.5000 0.5000 0.5000 [1 per cell]  8 Al 2.92, 4 Pt 3.03


28.
BeAl2Re | SCAN | PBEsol geometry

## Properties
- E: -22.97 eV per atom

a b c (Å): 3.3662 3.8936 7.8485
angles (deg): 90.00 90.00 90.00
With the nearest neighbours (Å) after each atom.
Space group Immm (No. 71)
Asymmetric unit:
Be 0.0000 0.0000 0.0000 [2 per cell]  8 Al 2.53-2.81, 4 Re 2.57
Al 0.0000 0.5000 0.2585 [4 per cell]  4 Be 2.53-2.81, 4 Al 2.58, 4 Re 2.64-2.72
Re 0.0000 0.0000 0.5000 [2 per cell]  4 Be 2.57, 8 Al 2.64-2.72


29.
BeAlRe | SCAN | PBEsol geometry

## Properties
- Energy above the most stable polymorph in this dataset: 0.0 meV/atom
- E: -27.86 eV per atom

a b c (Å): 2.9864 2.9864 8.4225
angles (deg): 90.00 90.00 90.00
With the nearest neighbours (Å) after each atom.
Space group I4mm (No. 107)
Asymmetric unit:
Be 0.0000 0.0000 0.0000 [2 per cell]  4 Re 2.36, 5 Al 2.63-2.64
Al 0.0000 0.0000 0.3122 [2 per cell]  5 Re 2.63-2.65, 5 Be 2.63-2.64
Re 0.0000 0.0000 0.6264 [2 per cell]  4 Be 2.36, 5 Al 2.63-2.65


30.
BeAlRe2 | SCAN | PBEsol geometry

## Properties
- Energy above the most stable polymorph in this dataset: 0.0 meV/atom
- E: -38.90 eV per atom

a b c (Å): 2.9785 2.9785 5.8399
angles (deg): 90.00 90.00 90.00
With the nearest neighbours (Å) after each atom.
Space group P4mm (No. 99)
Asymmetric unit:
Be 0.0000 0.0000 0.0000 [1 per cell]  4 Re 2.47, 4 Al 2.52
Al 0.5000 0.5000 0.7638 [1 per cell]  4 Be 2.52, 5 Re 2.67-2.68
Re 0.0000 0.0000 0.4825 [1 per cell]  4 Re 2.60, 4 Al 2.67, 1 Be 2.82
Re 0.5000 0.5000 0.2222 [1 per cell]  4 Be 2.47, 4 Re 2.60, 1 Al 2.68


| no. | volume (Å³/atom) | energy relative to the elements (meV per atom) |
| --- | --- | --- |
| 1 | 11.17 | -401 |
| 2 | 12.86 | 1620 |
| 3 | 12.26 | -317 |
| 4 | 14.34 | 324 |
| 5 | 10.95 | -439 |
| 6 | 22.13 | 2333 |
| 7 | 14.12 | 135 |
| 8 | 13.93 | 373 |
| 9 | 13.91 | 175 |
| 10 | 17.36 | -318 |
| 11 | 13.58 | 267 |
| 12 | 13.69 | 235 |
| 13 | 17.49 | -311 |
| 14 | 14.96 | 360 |
| 15 | 13.16 | 307 |
| 16 | 13.28 | 416 |
| 17 | 19.02 | 323 |
| 18 | 16.14 | 437 |
| 19 | 19.74 | 463 |
| 20 | 16.35 | 518 |
| 21 | 16.49 | 524 |
| 22 | 16.62 | 591 |
| 23 | 16.92 | 796 |
| 24 | 20.80 | 1117 |
| 25 | 9.78 | -576 |
| 26 | 14.96 | 174 |
| 27 | 14.54 | 467 |
| 28 | 12.86 | -230 |
| 29 | 12.52 | -126 |
| 30 | 12.95 | -320 |